Record 1
VASP calculation (PBE-GGA) on an optimized crystal structure of Ba2AlO.

Lattice parameters (Å, degrees): 5.550 5.550 5.550 60.00 60.00 60.00
Last column: magnetic moment on the atom in μB.
Fractional positions:
Al 0.500 0.500 0.500  0.24
O 0.000 0.000 0.000  0.33
Ba 0.250 0.250 0.250  0.17
Ba 0.750 0.750 0.750  0.17

Calculated total energy, eV per atom: -3.46
Magnetization, Bohr magnetons per cell: 2.4
ΔE to the lowest computed polymorph, eV per atom: 0.731
Space-group type: No. 225
Formation energy (no corrections), eV/atom: -0.32
Fermi-level density of states, states/eV/cell: 3.81

Record 2
VASP calculation (PBE-GGA) on an optimized crystal structure of Rb2HAuF6.

Lattice parameters (Å, degrees): 6.594 6.594 6.144 122.50 122.51 90.00
Fractional positions:
F 0.789 0.212 0.000
F 0.211 0.789 0.000
F 0.354 0.354 0.708
F 0.211 0.212 0.000
F 0.646 0.646 0.290
F 0.789 0.789 0.000
H 0.500 0.500 0.999
Rb 0.250 0.751 0.500
Rb 0.750 0.250 0.500
Au 0.000 0.000 0.000

Calculated total energy, eV per atom: -3.90
Magnetization, Bohr magnetons per cell: 0.0
ΔE to the lowest computed polymorph, eV per atom: 0.000
Space-group type: No. 139
Fermi-level density of states, states/eV/cell: 0.00

Record 3
VASP calculation (PBE-GGA) on an optimized crystal structure of Ca2Tb6Sm5.

Lattice parameters (Å, degrees): 3.573 12.106 20.569 90.00 90.00 90.00
Fractional positions:
Ca 0.000 0.658 0.716
Ca 0.000 0.158 0.784
Ca 0.000 0.842 0.216
Ca 0.000 0.342 0.284
Tb 0.000 0.555 0.424
Tb 0.000 0.072 0.361
Tb 0.000 0.928 0.639
Tb 0.000 0.055 0.076
Tb 0.000 0.572 0.139
Tb 0.500 0.183 0.618
Tb 0.000 0.445 0.576
Tb 0.500 0.817 0.382
Tb 0.000 0.428 0.861
Tb 0.500 0.683 0.882
Tb 0.000 0.945 0.924
Tb 0.500 0.317 0.118
Sm 0.500 0.500 0.000
Sm 0.500 0.604 0.283
Sm 0.500 0.396 0.717
Sm 0.500 0.896 0.783
Sm 0.500 0.706 0.550
Sm 0.500 0.294 0.450
Sm 0.500 0.206 0.950
Sm 0.500 0.000 0.500
Sm 0.500 0.794 0.050
Sm 0.500 0.104 0.217

Calculated total energy, eV per atom: -4.12
Energy of formation, meV per atom: 137
Magnetization, Bohr magnetons per cell: 0.0
Space-group type: No. 55
Fermi-level density of states, states/eV/cell: 42.00

Record 4
VASP calculation (PBE-GGA) on an optimized crystal structure of NbAlHRu2.

Lattice parameters (Å, degrees): 4.087 4.087 3.770 90.00 90.00 90.00
Fractional positions:
H 0.000 0.000 0.000
Al 0.500 0.500 0.500
Ru 0.500 0.000 0.000
Ru 0.000 0.500 0.000
Nb 0.000 0.000 0.500

Calculated total energy, eV per atom: -7.37
Magnetization, Bohr magnetons per cell: 0.0
Space-group type: No. 123
Fermi-level density of states, states/eV/cell: 2.35

Record 5
VASP calculation (PBE-GGA) on an optimized crystal structure of TcSb2TePt.

Lattice parameters (Å, degrees): 5.087 5.087 5.087 90.00 90.00 90.00
Fractional positions:
Pt 0.500 0.500 0.500
Te 0.000 0.000 0.500
Tc 0.000 0.000 0.000
Sb 0.000 0.500 0.000
Sb 0.500 0.000 0.000

Calculated total energy, eV per atom: -4.81
Magnetization, Bohr magnetons per cell: 0.0
ΔE to the lowest computed polymorph, eV per atom: 0.000
Space-group type: No. 123
Formation energy (no corrections), eV/atom: 0.75
Fermi-level density of states, states/eV/cell: 5.61

Record 6
VASP calculation (PBE-GGA) on an optimized crystal structure of LiMgTa.

Lattice parameters (Å, degrees): 7.907 5.133 2.937 90.00 100.58 90.00
Fractional positions:
Li 0.122 0.500 0.801
Li 0.234 0.000 0.354
Ta 0.477 0.500 0.479
Ta 0.768 0.500 0.122
Mg 0.892 0.000 0.683
Mg 0.551 0.000 0.015

Calculated total energy, eV per atom: -4.79
Energy of formation, meV per atom: 335
Magnetization, Bohr magnetons per cell: 0.0
ΔE to the lowest computed polymorph, eV per atom: 0.254
Space-group type: No. 6
Fermi-level density of states, states/eV/cell: 4.71

Record 7
VASP calculation (PBE-GGA) on an optimized crystal structure of LiPmDyTe3.

Lattice parameters (Å, degrees): 4.267 8.968 9.508 103.67 90.00 90.00
Fractional positions:
Te 0.250 0.091 0.876
Te 0.250 0.570 0.824
Te 0.250 0.767 0.500
Te 0.750 0.233 0.500
Te 0.750 0.909 0.124
Te 0.750 0.430 0.176
Pm 0.250 0.189 0.233
Pm 0.750 0.811 0.767
Li 0.750 0.915 0.415
Li 0.250 0.085 0.585
Dy 0.250 0.668 0.160
Dy 0.750 0.332 0.840

Calculated total energy, eV per atom: -4.72
Magnetization, Bohr magnetons per cell: 0.0
Space-group type: No. 11
Formation energy (no corrections), eV/atom: -1.27
Fermi-level density of states, states/eV/cell: 5.70

Record 8
VASP calculation (PBE-GGA) on an optimized crystal structure of Ta2OsF.

Lattice parameters (Å, degrees): 4.733 4.733 7.363 71.25 71.25 90.00
Fractional positions:
Ta 0.375 0.440 0.750
Ta 0.560 0.125 0.250
Ta 0.190 0.625 0.250
Ta 0.875 0.810 0.750
Os 0.000 0.000 0.000
Os 0.750 0.250 0.500
F 0.250 0.750 0.500
F 0.500 0.500 0.000

Calculated total energy, eV per atom: -9.03
Magnetization, Bohr magnetons per cell: 0.0
ΔE to the lowest computed polymorph, eV per atom: 0.481
Space-group type: No. 122
Formation energy (no corrections), eV/atom: 0.18
Fermi-level density of states, states/eV/cell: 6.74

Record 9
VASP calculation (PBE-GGA) on an optimized crystal structure of La2PmY3Tm6.

Lattice parameters (Å, degrees): 6.189 6.189 11.755 95.03 95.03 119.97
Fractional positions:
Pm 0.000 0.000 0.000
La 0.667 0.333 0.000
La 0.333 0.667 0.000
Tm 0.753 0.753 0.254
Tm 0.418 0.085 0.254
Tm 0.085 0.418 0.254
Tm 0.582 0.915 0.746
Tm 0.915 0.582 0.746
Tm 0.247 0.247 0.746
Y 0.833 0.167 0.500
Y 0.167 0.833 0.500
Y 0.500 0.500 0.500

Calculated total energy, eV per atom: -5.04
Energy of formation, meV per atom: 28
Magnetization, Bohr magnetons per cell: 0.0
Space-group type: No. 12
Fermi-level density of states, states/eV/cell: 16.95

Record 10
VASP calculation (PBE-GGA) on an optimized crystal structure of Ac2LaPr2Ho.

Lattice parameters (Å, degrees): 5.980 7.421 10.348 90.00 90.00 90.00
Fractional positions:
Ho 0.500 0.758 0.335
Ho 0.500 0.258 0.665
Pr 0.500 0.258 0.342
Pr 0.500 0.758 0.658
Pr 0.000 0.257 0.827
Pr 0.000 0.757 0.173
La 0.000 0.508 0.500
La 0.000 0.008 0.500
Ac 0.500 0.508 0.000
Ac 0.000 0.258 0.172
Ac 0.000 0.758 0.828
Ac 0.500 0.008 0.000

Calculated total energy, eV per atom: -4.48
Energy of formation, meV per atom: 68
Magnetization, Bohr magnetons per cell: 0.0
Space-group type: No. 51
Fermi-level density of states, states/eV/cell: 18.18

Record 11
VASP calculation (PBE-GGA) on an optimized crystal structure of CrRhCl2.

Lattice parameters (Å, degrees): 3.134 5.685 3.939 90.00 90.00 90.00
Last column: magnetic moment on the atom in μB.
Fractional positions:
Cr 0.500 0.000 0.500  3.83
Rh 0.000 0.500 0.500  -0.43
Cl 0.500 0.500 0.000  -0.01
Cl 0.000 0.000 0.000  -0.02

Calculated total energy, eV per atom: -5.03
Magnetization, Bohr magnetons per cell: 3.8
ΔE to the lowest computed polymorph, eV per atom: 0.356
Space-group type: No. 47
Formation energy (no corrections), eV/atom: 0.13
Fermi-level density of states, states/eV/cell: 3.82

Record 12
VASP calculation (PBE-GGA) on an optimized crystal structure of RbLa.

Lattice parameters (Å, degrees): 3.818 11.149 16.502 90.00 90.00 90.00
Fractional positions:
La 0.000 0.534 0.833
La 0.500 0.466 0.333
La 0.000 0.534 0.167
La 0.500 0.466 0.667
La 0.500 0.467 0.000
La 0.000 0.533 0.500
Rb 0.000 0.824 0.000
Rb 0.000 0.824 0.666
Rb 0.000 0.824 0.334
Rb 0.500 0.176 0.166
Rb 0.500 0.176 0.834
Rb 0.500 0.176 0.500

Calculated total energy, eV per atom: -2.57
Energy of formation, meV per atom: 375
Magnetization, Bohr magnetons per cell: 0.0
Space-group type: No. 59
Fermi-level density of states, states/eV/cell: 13.06